No. 1
A relaxed structure of Tm4NiS2, computed with PBE.

```
data_Tm4NiS2
_chemical_formula_sum 'Tm16 Ni4 S8'
_space_group_name_H-M_alt 'C m c m'
_space_group_IT_number 63
_space_group_name_Hall '-C 2c 2'
_cell_length_a 3.7151
_cell_length_b 12.4222
_cell_length_c 13.3942
_cell_angle_alpha 90.00
_cell_angle_beta 90.00
_cell_angle_gamma 90.00
loop_
_atom_site_label
_atom_site_type_symbol
_atom_site_fract_x
_atom_site_fract_y
_atom_site_fract_z
_atom_site_occupancy
Tm1 Tm 0.0000 0.0000 0.0000 1
Tm2 Tm 0.0000 0.2857 0.1258 1
Tm3 Tm 0.0000 0.4509 0.7500 1
Ni1 Ni 0.0000 0.1087 0.7500 1
S1 S 0.0000 0.3596 0.5631 1
```

## Properties
DOS at the Fermi energy in states/eV/f.u.: 4.6
Magnetization in μB per formula unit: 0.00
ρ in Mg/m³: 8.581
Formation energy without anion corrections in meV/atom: -1250
Uncorrected energy in eV/atom: -5.810



No. 2
A relaxed structure of Tm2NiS, computed with PBE.

```
data_Tm2NiS
_chemical_formula_sum 'Tm8 Ni4 S4'
_space_group_name_H-M_alt 'C m c m'
_space_group_IT_number 63
_space_group_name_Hall '-C 2c 2'
_cell_length_a 3.7537
_cell_length_b 21.6508
_cell_length_c 3.9190
_cell_angle_alpha 90.00
_cell_angle_beta 90.00
_cell_angle_gamma 90.00
loop_
_atom_site_label
_atom_site_type_symbol
_atom_site_fract_x
_atom_site_fract_y
_atom_site_fract_z
_atom_site_occupancy
Tm1 Tm 0.0000 0.0661 0.2500 1
Tm2 Tm 0.0000 0.3181 0.2500 1
Ni1 Ni 0.0000 0.4636 0.2500 1
S1 S 0.0000 0.1930 0.2500 1
```

## Properties
DOS at the Fermi energy in states/eV/f.u.: 2.9
Magnetization in μB per formula unit: 0.00
ρ in Mg/m³: 8.939
Formation energy without anion corrections in meV/atom: -1219
Uncorrected energy in eV/atom: -5.932



| no. | V (A^3/atom) |
| --- | --- |
| 1 | 22.1 |
| 2 | 19.9 |